Entry 1:
First-principles (PBEsol) data for a relaxed structure of CoReTeN2, as listed in Alexandria.

Energy   -38.203 eV/f.u.
Uncorrected formation energy   0.689 eV/atom
Spin magnetization   1.8 μB/f.u.
Space group   No. 123

Cell lengths 3.7829, 3.7829, 5.6531 Å; angles 90.00, 90.00, 90.00 degrees
Each line ends with the local moment (μB).
Fractional positions:
N1 0.0000 0.5000 0.0000  0.05
N2 0.5000 0.0000 0.0000  0.05
Te1 0.0000 0.0000 0.5000  0.00
Co1 0.5000 0.5000 0.5000  1.69
Re1 0.0000 0.0000 0.0000  -0.11

---

Entry 2:
First-principles (PBEsol) data for a relaxed structure of CuNiIO2, as listed in Alexandria.

Energy   -20.985 eV/f.u.
Uncorrected formation energy   0.354 eV/atom
Spin magnetization   2.1 μB/f.u.
Space group   No. 123

Cell lengths 3.6184, 3.6184, 6.1284 Å; angles 90.00, 90.00, 90.00 degrees
Each line ends with the local moment (μB).
Fractional positions:
I1 0.0000 0.0000 0.5000  0.05
O1 0.0000 0.5000 0.0000  0.54
O2 0.5000 0.0000 0.0000  0.54
Ni1 0.5000 0.5000 0.5000  0.47
Cu1 0.0000 0.0000 0.0000  0.29

---

Entry 3:
First-principles (PBEsol) data for a relaxed structure of PtSNCl2, as listed in Alexandria.

Energy   -18.235 eV/f.u.
Uncorrected formation energy   1.131 eV/atom
Spin magnetization   2.9 μB/f.u.
Space group   No. 123

Cell lengths 4.3896, 4.9642, 4.9642 Å; angles 90.00, 90.00, 90.00 degrees
Each line ends with the local moment (μB).
Fractional positions:
Cl1 0.0000 0.0000 0.5000  0.04
Cl2 0.0000 0.5000 0.0000  0.04
N1 0.5000 0.5000 0.5000  1.87
Pt1 0.0000 0.0000 0.0000  -0.01
S1 0.5000 0.0000 0.0000  -0.03

---

Entry 4:
First-principles (PBEsol) data for a relaxed structure of NiRh3Br, as listed in Alexandria.

Energy   -25.371 eV/f.u.
Uncorrected formation energy   1.414 eV/atom
Spin magnetization   1.8 μB/f.u.
Space group   No. 221

Cell lengths 4.4721, 4.4721, 4.4721 Å; angles 90.00, 90.00, 90.00 degrees
Each line ends with the local moment (μB).
Fractional positions:
Ni1 0.5000 0.5000 0.5000  1.01
Br1 0.0000 0.0000 0.0000  0.01
Rh1 0.5000 0.0000 0.0000  0.27
Rh2 0.0000 0.0000 0.5000  0.27
Rh3 0.0000 0.5000 0.0000  0.27

---

Entry 5:
First-principles (PBEsol) data for a relaxed structure of TeAsPS2, as listed in Alexandria.

Energy   -17.877 eV/f.u.
Uncorrected formation energy   1.063 eV/atom
Spin magnetization   0.0 μB/f.u.
Space group   No. 123

Cell lengths 4.8465, 4.8465, 5.1246 Å; angles 90.00, 90.00, 90.00 degrees
Fractional positions:
P1 0.0000 0.0000 0.5000
Te1 0.0000 0.0000 0.0000
S1 0.5000 0.0000 0.0000
S2 0.0000 0.5000 0.0000
As1 0.5000 0.5000 0.5000

---

Entry 6:
First-principles (PBEsol) data for a relaxed structure of SrEuS2, as listed in Alexandria.

Energy   -29.924 eV/f.u.
Uncorrected formation energy   -2.188 eV/atom
Spin magnetization   7.0 μB/f.u.
Space group   No. 166

Cell lengths 4.1408, 4.1408, 7.1967 Å; angles 73.28, 73.28, 60.00 degrees
Each line ends with the local moment (μB).
Fractional positions:
S1 0.2530 0.2530 0.2409  -0.04
S2 0.7470 0.7470 0.7591  -0.04
Eu1 0.0000 0.0000 0.0000  6.76
Sr1 0.5000 0.5000 0.5000  0.02

---

Entry 7:
First-principles (PBEsol) data for a relaxed structure of LiMnCo2, as listed in Alexandria.

Energy   -26.133 eV/f.u.
E above lowest polymorph   13 meV per atom
Spin magnetization   2.8 μB/f.u.
Space group   No. 99

Cell lengths 2.3853, 2.3853, 7.6749 Å; angles 90.00, 90.00, 90.00 degrees
Each line ends with the local moment (μB).
Fractional positions:
Li1 0.0000 0.0000 0.4939  -0.02
Co1 0.5000 0.5000 0.2284  1.52
Co2 0.0000 0.0000 0.0014  0.87
Mn1 0.5000 0.5000 0.7763  0.42

---

Entry 8:
First-principles (PBEsol) data for a relaxed structure of LiCuAg, as listed in Alexandria.

Energy   -9.735 eV/f.u.
E above lowest polymorph   0 meV per atom
Spin magnetization   0.0 μB/f.u.
Space group   No. 8

Cell lengths 2.6918, 3.8376, 4.6338 Å; angles 114.44, 106.57, 90.03 degrees
Fractional positions:
Ag1 0.0036 0.0028 0.0054
Li1 0.3319 0.3311 0.6621
Cu1 0.6643 0.6660 0.3326

---

Entry 9:
First-principles (PBEsol) data for a relaxed structure of TcNi2Pt, as listed in Alexandria.

Energy   -30.777 eV/f.u.
E above lowest polymorph   29 meV per atom
Spin magnetization   0.0 μB/f.u.
Space group   No. 25

Cell lengths 2.6351, 3.7153, 5.0884 Å; angles 90.00, 90.00, 90.00 degrees
Fractional positions:
Ni1 0.5000 0.5000 0.2362
Ni2 0.0000 0.0000 0.0024
Pt1 0.0000 0.0000 0.4986
Tc1 0.5000 0.5000 0.7628

---

Entry 10:
First-principles (PBEsol) data for a relaxed structure of Sb3PPt, as listed in Alexandria.

Energy   -22.786 eV/f.u.
Uncorrected formation energy   0.728 eV/atom
Spin magnetization   0.0 μB/f.u.
Space group   No. 221

Cell lengths 5.1494, 5.1494, 5.1494 Å; angles 90.00, 90.00, 90.00 degrees
Fractional positions:
Pt1 0.0000 0.0000 0.0000
Sb1 0.5000 0.0000 0.0000
Sb2 0.0000 0.5000 0.0000
Sb3 0.0000 0.0000 0.5000
P1 0.5000 0.5000 0.5000

---

Entry 11:
First-principles (PBEsol) data for a relaxed structure of YAl, as listed in Alexandria.

Energy   -11.780 eV/f.u.
Spin magnetization   0.0 μB/f.u.
Space group   No. 221

Cell lengths 3.5618, 3.5618, 3.5616 Å; angles 90.00, 90.00, 90.00 degrees
Fractional positions:
Y1 0.5000 0.5000 0.5000
Al1 0.0000 0.0000 0.0000

---

Entry 12:
First-principles (PBEsol) data for a relaxed structure of Fe3Pt, as listed in Alexandria.

Energy   -33.505 eV/f.u.
Spin magnetization   8.3 μB/f.u.
Space group   No. 166

Cell lengths 2.6743, 2.6743, 8.2628 Å; angles 80.69, 80.69, 60.00 degrees
Each line ends with the local moment (μB).
Fractional positions:
Fe1 0.2447 0.2447 0.2659  2.74
Fe2 0.5000 0.5000 0.5000  2.52
Fe3 0.7553 0.7553 0.7341  2.74
Pt1 0.0000 0.0000 0.0000  0.26